[1]
A plane-wave DFT calculation with PBE-GGA was carried out for crystalline Hf2MoAs at its relaxed geometry.

## Properties
For the total energy, the calculation gives -0.6479 Ry per atom.

Unit cell a=4.666 b=4.666 c=4.666 alpha=60.00 beta=60.00 gamma=60.00
Sites, in units of the cell vectors:
Hf: 0.000 0.000 0.000
Hf: 0.250 0.250 0.250
Mo: 0.750 0.750 0.750
As: 0.500 0.500 0.500

---

[2]
A plane-wave DFT calculation with PBE-GGA was carried out for crystalline ScZnCuSb at its relaxed geometry.

## Properties
For the total energy, the calculation gives -0.2887 Ry per atom.

Unit cell a=4.745 b=4.745 c=4.745 alpha=60.00 beta=60.00 gamma=60.00
Sites, in units of the cell vectors:
Sc: 0.000 0.000 0.000
Zn: 0.500 0.500 0.500
Cu: 0.750 0.750 0.750
Sb: 0.250 0.250 0.250

---

[3]
A plane-wave DFT calculation with PBE-GGA was carried out for crystalline YTmGa5 at its relaxed geometry.

## Properties
For the total energy, the calculation gives -0.3048 Ry per atom.

Unit cell a=4.211 b=4.211 c=8.282 alpha=90.00 beta=90.00 gamma=90.00
Sites, in units of the cell vectors:
Y: 0.000 0.000 0.000
Tm: 0.000 0.000 0.500
Ga: 0.000 0.500 0.258
Ga: 0.000 0.500 0.742
Ga: 0.500 0.000 0.258
Ga: 0.500 0.000 0.742
Ga: 0.500 0.500 0.000

---

[4]
A plane-wave DFT calculation with PBE-GGA was carried out for crystalline CsZrNi at its relaxed geometry.

## Properties
For the total energy, the calculation gives -0.2345 Ry per atom.

Unit cell a=4.728 b=4.728 c=4.728 alpha=60.00 beta=60.00 gamma=60.00
Sites, in units of the cell vectors:
Cs: 0.000 0.000 0.000
Zr: 0.250 0.250 0.250
Ni: 0.750 0.750 0.750

---

[5]
A plane-wave DFT calculation with PBE-GGA was carried out for crystalline BaErNi at its relaxed geometry.

## Properties
For the total energy, the calculation gives -0.2427 Ry per atom.

Unit cell a=4.998 b=4.998 c=4.998 alpha=60.00 beta=60.00 gamma=60.00
Sites, in units of the cell vectors:
Ba: 0.000 0.000 0.000
Er: 0.250 0.250 0.250
Ni: 0.500 0.500 0.500

---

[6]
A plane-wave DFT calculation with PBE-GGA was carried out for crystalline CdCuSiMo at its relaxed geometry.

## Properties
For the total energy, the calculation gives -0.3543 Ry per atom.

Unit cell a=4.411 b=4.411 c=4.411 alpha=60.00 beta=60.00 gamma=60.00
Sites, in units of the cell vectors:
Cd: 0.000 0.000 0.000
Cu: 0.750 0.750 0.750
Si: 0.500 0.500 0.500
Mo: 0.250 0.250 0.250

---

[7]
A plane-wave DFT calculation with PBE-GGA was carried out for crystalline Tm3Ga3Co2Ni at its relaxed geometry.

## Properties
For the total energy, the calculation gives -0.3853 Ry per atom.

Unit cell a=6.891 b=6.891 c=3.745 alpha=90.00 beta=90.00 gamma=120.00
Sites, in units of the cell vectors:
Tm: 0.000 0.589 0.000
Tm: 0.411 0.411 0.000
Tm: 0.589 0.000 0.000
Ga: 0.000 0.250 0.500
Ga: 0.250 0.000 0.500
Ga: 0.750 0.750 0.500
Co: 0.333 0.667 0.500
Co: 0.667 0.333 0.500
Ni: 0.000 0.000 0.000

---

[8]
A plane-wave DFT calculation with PBE-GGA was carried out for crystalline YHoPbC at its relaxed geometry.

## Properties
For the total energy, the calculation gives -0.4778 Ry per atom.

Unit cell a=3.632 b=3.632 c=16.092 alpha=90.00 beta=90.00 gamma=120.00
Sites, in units of the cell vectors:
Y: 0.333 0.667 0.417
Y: 0.667 0.333 0.583
Ho: 0.333 0.667 0.082
Ho: 0.667 0.333 0.918
Pb: 0.333 0.667 0.750
Pb: 0.667 0.333 0.250
C: 0.000 0.000 0.000
C: 0.000 0.000 0.500